## InSbSeS (PBE-GGA)

Data for a relaxed InSbSeS crystal.

a b c (Å): 6.5762 3.7957 9.2029
angles (deg): 90.00 104.30 90.00
Last column: nearest neighbours and their distance in Å.
Positions (direct):
In (0.0000, 0.0000, 0.0000)  3 S 2.55
In (0.5000, 0.5000, 0.0000)  3 S 2.55
Sb (0.2645, 0.5000, 0.2842)  3 Se 2.80
Sb (0.7645, 0.0000, 0.2842)  3 Se 2.80
Se (0.1656, 0.0000, 0.4801)  3 Sb 2.80
Se (0.6656, 0.5000, 0.4801)  3 Sb 2.80
S (0.1161, 0.5000, 0.8538)  3 In 2.55
S (0.6161, 0.0000, 0.8538)  3 In 2.55

Values from the calculation:
Energy relative to the elements, uncorrected in kJ/mol of atoms: -17.6
Symmetry: Cm
Energy in eV per atom: -3.800